A relaxed structure of Rb6Co2O5, computed with PBE+U. Values from VASP.

Geometry as Quantum ESPRESSO input:
```
&SYSTEM
  ibrav = 0, nat = 13, ntyp = 3
/
ATOMIC_SPECIES
Rb 85.47 Rb.upf
Co 58.93 Co.upf
O 16.00 O.upf
ATOMIC_POSITIONS angstrom
Rb 0.0000 0.0000 0.0000
Rb 1.7729 0.0000 4.1982
Rb 4.4485 2.7980 2.0321
Rb 4.1650 2.3989 5.3798
Rb 4.1650 -2.3989 5.3798
Rb 4.4485 -2.7980 2.0321
Co 3.0285 0.0000 0.8430
Co 5.7503 0.0000 3.3875
O 2.8886 4.2351 3.8403
O 2.4769 1.6055 0.1690
O 2.4769 -1.6055 0.1690
O 3.9988 0.0000 2.5360
O 2.8886 -4.2351 3.8403
CELL_PARAMETERS angstrom
3.5475 -5.8577 0.0000
3.5475 5.8577 0.0000
-0.5074 0.0000 6.7828
```

- Energy: -55.4 eV per cell
- V: 21.68 Å³/atom
- Space-group type: Cm, No. 8
- Mass density: 4.2 g/cm³